This record from Alexandria describes a relaxed structure of SrNbS4. The functional is PBE-GGA.

Calculated values
* ΔE to the lowest computed polymorph: 0.0000 eV/atom
* raw formation energy: -1.139 eV/atom
* size of the total moment: 0.00 μB/atom

Cell: 7.1336 13.3103 6.0988 Å, 90.00 95.11 90.00°
Space group C2/c (No. 15)
Asymmetric unit:
Sr 0.0000 0.1322 0.2500 (multiplicity 4)
Nb 0.0000 0.4614 0.7500 (multiplicity 4)
S 0.0924 0.2853 0.6273 (multiplicity 8)
S 0.2410 0.4516 0.0799 (multiplicity 8)



This record from Alexandria describes a relaxed structure of SrNbS3. The functional is PBE-GGA.

Calculated values
* raw formation energy: -1.298 eV/atom
* size of the total moment: 0.00 μB/atom

Cell: 4.8528 4.8528 4.8528 Å, 90.00 90.00 90.00°
Space group Pm-3m (No. 221)
Asymmetric unit:
Sr 0.0000 0.0000 0.0000 (multiplicity 1)
Nb 0.5000 0.5000 0.5000 (multiplicity 1)
S 0.0000 0.5000 0.5000 (multiplicity 3)